Entry from Alexandria: an optimized crystal structure of RbNa2SbCl8 (GGA-PBE).

Cell: 6.156 7.204 9.579 Å, 109.26 97.40 92.11°
Space group P-1 (No. 2)
One atom of each set of equivalent atoms:
Rb: 0.000 0.000 0.000 [1 per cell]
Na: 0.449 0.334 0.808 [2 per cell]
Sb: 0.000 0.000 0.500 [1 per cell]
Cl: 0.112 0.756 0.278 [2 per cell]
Cl: 0.250 0.896 0.669 [2 per cell]
Cl: 0.276 0.246 0.499 [2 per cell]
Cl: 0.484 0.277 0.071 [2 per cell]

Calculated values
- formation energy (no corrections) (eV/atom) = -1.2315
- V (Å³/atom) = 33.0
- total moment (μB/f.u.) = 0.00

Entry from Alexandria: an optimized crystal structure of GdIn5 (GGA-PBE).

Cell: 4.658 14.309 4.664 Å, 90.00 90.00 90.00°
Space group Cmmm (No. 65)
One atom of each set of equivalent atoms:
Gd: 0.000 0.000 0.000 [2 per cell]
In: 0.000 0.168 0.500 [4 per cell]
In: 0.000 0.333 0.000 [4 per cell]
In: 0.000 0.500 0.500 [2 per cell]

Calculated values
- V (Å³/atom) = 25.9
- total moment (μB/f.u.) = 7.19
- E_form (kJ/mol of formula units) = -126

Entry from Alexandria: an optimized crystal structure of TbDy2Y3S6 (GGA-PBE).

Cell: 6.766 11.769 6.779 Å, 90.00 109.48 90.00°
Space group C2/m (No. 12)
One atom of each set of equivalent atoms:
Tb: 0.000 0.000 0.000 [2 per cell]
Dy: 0.000 0.333 0.000 [4 per cell]
Y: 0.000 0.166 0.500 [4 per cell]
Y: 0.000 0.500 0.500 [2 per cell]
S: 0.249 0.500 0.249 [4 per cell]
S: 0.250 0.167 0.250 [8 per cell]

Calculated values
- formation energy (no corrections) (eV/atom) = -2.0013
- V (Å³/atom) = 21.2
- total moment (μB/f.u.) = 0.00

Entry from Alexandria: an optimized crystal structure of LiTlSbF6 (GGA-PBE).

Cell: 5.5598 5.5598 6.0920 Å, 90.00 90.00 120.00°
Space group P312 (No. 149)
One atom of each set of equivalent atoms:
Li: 0.0000 0.0000 0.0000 [1 per cell]
Tl: 0.3333 0.6667 0.5000 [1 per cell]
Sb: 0.6667 0.3333 0.0000 [1 per cell]
F: 0.3387 0.0493 0.1887 [6 per cell]

Calculated values
- formation energy (no corrections) (eV/atom) = -2.3333
- V (Å³/atom) = 18.1
- total moment (μB/f.u.) = 0.96

Entry from Alexandria: an optimized crystal structure of TcRuSe (GGA-PBE).

Cell: 2.895 4.839 13.556 Å, 90.00 90.00 90.00°
Space group Fmm2 (No. 42)
One atom of each set of equivalent atoms:
Tc: 0.000 0.000 0.000 [4 per cell]
Ru: 0.000 0.000 0.652 [4 per cell]
Se: 0.000 0.000 0.325 [4 per cell]

Calculated values
- formation energy (no corrections) (eV/atom) = 0.5935
- offset from the most stable computed form (eV per atom) = 0.430
- V (Å³/atom) = 15.8
- total moment (μB/f.u.) = 0.00

Entry from Alexandria: an optimized crystal structure of Ta5Mo (GGA-PBE).

Cell: 2.870 4.633 8.046 Å, 90.00 90.58 90.00°
Space group P2/m (No. 10)
One atom of each set of equivalent atoms:
Ta: 0.000 0.000 0.000 [1 per cell]
Ta: 0.308 0.000 0.337 [2 per cell]
Ta: 0.326 0.500 0.830 [2 per cell]
Mo: 0.000 0.500 0.500 [1 per cell]

Calculated values
- offset from the most stable computed form (eV per atom) = 0.027
- V (Å³/atom) = 17.8
- total moment (μB/f.u.) = 0.00
- E_form (kJ/mol of formula units) = -26

Entry from Alexandria: an optimized crystal structure of Ag4IrRu (GGA-PBE).

Cell: 7.469 7.469 7.469 Å, 90.00 90.00 90.00°
Space group F-43m (No. 216)
One atom of each set of equivalent atoms:
Ag: 0.125 0.125 0.125 [16 per cell]
Ir: 0.000 0.000 0.500 [4 per cell]
Ru: 0.250 0.250 0.750 [4 per cell]

Calculated values
- V (Å³/atom) = 17.4
- total moment (μB/f.u.) = 2.89
- E_form (kJ/mol of formula units) = 466

Entry from Alexandria: an optimized crystal structure of Be3Au (GGA-PBE).

Cell: 2.602 3.764 4.602 Å, 90.00 101.33 90.00°
Space group P2/m (No. 10)
One atom of each set of equivalent atoms:
Be: 0.000 0.000 0.000 [1 per cell]
Be: 0.185 0.500 0.787 [2 per cell]
Au: 0.500 0.000 0.500 [1 per cell]

Calculated values
- V (Å³/atom) = 11.0
- total moment (μB/f.u.) = 0.00
- E_form (kJ/mol of formula units) = 42